Entry 1:
The following is a PBE-GGA calculation of a geometry-optimized MgCo structure, from Alexandria via LeMat-Bulk. Values from VASP.

## Properties
As for the symmetry: P6_3/mmc. The calculation puts the magnetic moment at 0.590 μB per atom. Its calculated total energy is -13.0 eV/cell.

Geometry as Quantum ESPRESSO input:
```
&SYSTEM
  ibrav = 0, nat = 4, ntyp = 2
/
ATOMIC_SPECIES
Mg 24.30 Mg.upf
Co 58.93 Co.upf
CELL_PARAMETERS angstrom
4.3946 0.0000 0.0000
-2.1973 3.8058 0.0000
0.0000 0.0000 5.0036
ATOMIC_POSITIONS angstrom
Mg 0.0000 2.5372 1.2509
Mg 2.1973 1.2686 3.7527
Co 0.0000 2.5372 3.7527
Co 2.1973 1.2686 1.2509
```

=====

Entry 2:
The following is a PBE-GGA calculation of a geometry-optimized MgCo structure, from Alexandria via LeMat-Bulk. Values from VASP.

## Properties
As for the symmetry: F-43m. The calculation puts the magnetic moment at 0.724 μB per atom. Its calculated total energy is -5.7 eV/cell.

Geometry as Quantum ESPRESSO input:
```
&SYSTEM
  ibrav = 0, nat = 2, ntyp = 2
/
ATOMIC_SPECIES
Co 58.93 Co.upf
Mg 24.30 Mg.upf
CELL_PARAMETERS angstrom
-0.6308 0.1090 -4.0923
3.0360 -1.1014 -2.5935
-0.2885 -3.5311 -2.1458
ATOMIC_POSITIONS angstrom
Co 0.0000 0.0000 0.0000
Mg 1.5875 -3.3926 -6.6238
```

=====

Entry 3:
The following is a PBE-GGA calculation of a geometry-optimized MgCo2 structure, from Alexandria via LeMat-Bulk. Values from VASP.

## Properties
As for the symmetry: P4/mmm. The calculation puts the magnetic moment at 0.997 μB per atom. Its calculated total energy is -14.8 eV/cell.

Geometry as Quantum ESPRESSO input:
```
&SYSTEM
  ibrav = 0, nat = 3, ntyp = 2
/
ATOMIC_SPECIES
Co 58.93 Co.upf
Mg 24.30 Mg.upf
CELL_PARAMETERS angstrom
3.2473 0.0000 0.0000
0.0000 3.2473 0.0000
0.0000 0.0000 4.4363
ATOMIC_POSITIONS angstrom
Co 0.0000 1.6236 2.2181
Co 1.6236 0.0000 2.2181
Mg 0.0000 0.0000 0.0000
```

=====

Entry 4:
The following is a PBE-GGA calculation of a geometry-optimized MgCo2 structure, from Alexandria via LeMat-Bulk. Values from VASP.

## Properties
As for the symmetry: C2/m. The calculation puts the magnetic moment at 0.961 μB per atom. Its calculated total energy is -30.9 eV/cell.

Geometry as Quantum ESPRESSO input:
```
&SYSTEM
  ibrav = 0, nat = 6, ntyp = 2
/
ATOMIC_SPECIES
Mg 24.30 Mg.upf
Co 58.93 Co.upf
CELL_PARAMETERS angstrom
-0.8022 -4.7039 -1.8545
1.9240 -4.3029 -1.9981
0.8604 -4.2063 4.5901
ATOMIC_POSITIONS angstrom
Mg 1.0401 -8.0615 -2.7633
Mg 0.9420 -5.1516 3.5008
Co 1.1491 -7.2991 1.4346
Co 0.5707 -3.3564 1.4641
Co 1.4114 -9.8568 -0.7267
Co 0.8331 -5.9140 -0.6971
```